Here is a relaxed Ho6Tm5Sc2 crystal from Alexandria. Energies are from PBE.

Summary:
energy relative to the elements = 1.56 eV per formula unit
total moment = 0.0 μB per cell
N(E_F) = 34.16 states/eV/cell

Lattice parameters (Å, degrees): 3.5081 11.2832 19.8853 90.00 90.00 90.00
Sites, in units of the cell vectors:
Tm (0.5000, 0.0000, 0.5000)
Tm (0.5000, 0.5836, 0.2704)
Tm (0.5000, 0.1953, 0.9477)
Tm (0.5000, 0.3047, 0.4477)
Tm (0.5000, 0.4164, 0.7296)
Tm (0.5000, 0.0836, 0.2296)
Tm (0.5000, 0.6953, 0.5523)
Tm (0.5000, 0.5000, 0.0000)
Tm (0.5000, 0.8047, 0.0523)
Tm (0.5000, 0.9164, 0.7704)
Sc (0.0000, 0.6683, 0.7063)
Sc (0.0000, 0.1683, 0.7937)
Sc (0.0000, 0.8317, 0.2063)
Sc (0.0000, 0.3317, 0.2937)
Ho (0.0000, 0.9119, 0.6302)
Ho (0.0000, 0.9386, 0.9174)
Ho (0.5000, 0.6683, 0.8567)
Ho (0.0000, 0.4119, 0.8698)
Ho (0.5000, 0.3317, 0.1433)
Ho (0.5000, 0.1683, 0.6433)
Ho (0.0000, 0.5614, 0.4174)
Ho (0.0000, 0.0881, 0.3698)
Ho (0.0000, 0.0614, 0.0826)
Ho (0.0000, 0.5881, 0.1302)
Ho (0.5000, 0.8317, 0.3567)
Ho (0.0000, 0.4386, 0.5826)